The following is a GGA+U calculation of a geometry-optimized CoRu2O6 structure, from Alexandria via LeMat-Bulk.

Output
Crystal system: trigonal
Volume, A^3/atom: 10.3
Total DFT energy (no corrections), eV/cell: -185.118
N(E_F), states/eV per atom: 0.53

The structure in CIF format:
```
data_CoRu2O6
_cell_length_a 8.5978
_cell_length_b 8.5978
_cell_length_c 4.3558
_cell_angle_alpha 90.00
_cell_angle_beta 90.00
_cell_angle_gamma 120.00
_symmetry_space_group_name_H-M 'P 3 2 1'
_symmetry_Int_Tables_number 150
loop_
_symmetry_equiv_pos_as_xyz
'x,y,z'
'-y,x-y,z'
'-x+y,-x,z'
'y,x,-z'
'x-y,-y,-z'
'-x,-x+y,-z'
loop_
_atom_site_label
_atom_site_fract_x
_atom_site_fract_y
_atom_site_fract_z
_atom_site_occupancy
Co1 0.0000 0.0000 0.0000 1
Co2 0.3333 0.6667 0.4963 1
Ru1 0.0000 0.3453 0.0000 1
Ru2 0.0000 0.6791 0.5000 1
O1 0.1066 0.5628 0.2511 1
O2 0.1094 0.2257 0.2402 1
O3 0.2133 0.4390 0.7413 1
```